1.
Entry from Alexandria via LeMat-Bulk: TlPtW2 at its PBEsol-relaxed geometry (meta-GGA SCAN).

Structure (POSCAR):
```
TlPtW2
1.0
4.8768 0.0000 0.0000
0.0000 4.8768 0.0000
0.0000 0.0000 2.8239
Tl Pt W
1 1 2
Direct
0.0000 0.0000 0.0000 Tl
0.5000 0.5000 0.0000 Pt
0.0000 0.5000 0.5000 W
0.5000 0.0000 0.5000 W
```

Calculated values
As for the calculated volume: 16.8 Å³ per atom. The value obtained for the energy above the most stable polymorph in this dataset is 0.288 eV per atom. Its total magnetization is 0.0 μB/cell. The formation energy is 0.89 eV per atom.

2.
Entry from Alexandria via LeMat-Bulk: Sr2CaTi3O9 at its PBEsol-relaxed geometry (meta-GGA SCAN).

Structure (POSCAR):
```
Sr2CaTi3O9
1.0
5.4871 0.0000 0.0000
0.0000 23.1554 0.0000
-0.0010 0.0000 5.4904
Sr Ca Ti O
8 4 12 36
Direct
0.0000 0.0000 0.0000 Sr
0.4953 0.1672 0.4845 Sr
0.4953 0.8328 0.4845 Sr
0.5013 0.3343 0.5041 Sr
0.5013 0.6657 0.5041 Sr
0.5022 0.0000 0.5043 Sr
0.9988 0.3329 0.0025 Sr
0.9988 0.6671 0.0025 Sr
0.0029 0.1670 0.9682 Ca
0.0029 0.8330 0.9682 Ca
0.0048 0.5000 0.9542 Ca
0.4942 0.5000 0.4527 Ca
0.5018 0.2503 0.9907 Ti
0.5018 0.7497 0.9907 Ti
0.5029 0.0841 0.9906 Ti
0.5029 0.9159 0.9906 Ti
0.5045 0.4186 0.9803 Ti
0.5045 0.5814 0.9803 Ti
0.9957 0.4190 0.4791 Ti
0.9957 0.5810 0.4791 Ti
0.9991 0.0845 0.4872 Ti
0.9993 0.2500 0.4891 Ti
0.9993 0.7500 0.4891 Ti
0.9991 0.9155 0.4872 Ti
0.0387 0.0000 0.4827 O
0.0424 0.3342 0.4868 O
0.0424 0.6658 0.4868 O
0.2162 0.4307 0.2196 O
0.2162 0.5693 0.2196 O
0.2201 0.0960 0.2264 O
0.2201 0.9040 0.2264 O
0.2232 0.2385 0.2296 O
0.2232 0.7615 0.2296 O
0.2545 0.2437 0.7391 O
0.2545 0.7563 0.7391 O
0.2584 0.0895 0.7356 O
0.2584 0.9105 0.7356 O
0.2771 0.4284 0.7196 O
0.2771 0.5716 0.7196 O
0.4522 0.3344 0.0069 O
0.4522 0.6656 0.0069 O
0.4553 0.0000 0.0144 O
0.5552 0.1671 0.9905 O
0.5552 0.8329 0.9905 O
0.5671 0.5000 0.0104 O
0.7188 0.4111 0.2779 O
0.7188 0.5889 0.2779 O
0.7244 0.0787 0.2698 O
0.7244 0.9213 0.2698 O
0.7275 0.2562 0.2662 O
0.7275 0.7438 0.2662 O
0.7553 0.2596 0.7615 O
0.7553 0.7404 0.7615 O
0.7588 0.0744 0.7652 O
0.7588 0.9256 0.7652 O
0.7741 0.4081 0.7764 O
0.7741 0.5919 0.7764 O
0.9285 0.5000 0.5238 O
0.9517 0.1671 0.5280 O
0.9517 0.8329 0.5280 O
```

Calculated values
As for the calculated volume: 11.6 Å³ per atom. The value obtained for the energy above the most stable polymorph in this dataset is 0.000 eV per atom. Its total magnetization is 0.0 μB/cell. The calculation puts the formation energy (no corrections) at -51.777 eV/f.u.

3.
Entry from Alexandria via LeMat-Bulk: CaTa3Cd at its PBEsol-relaxed geometry (meta-GGA SCAN).

Structure (POSCAR):
```
CaTa3Cd
1.0
5.0313 0.0000 0.0000
0.0000 5.0313 0.0000
0.0000 0.0000 5.0313
Ca Ta Cd
1 3 1
Direct
0.0000 0.0000 0.0000 Ca
0.0000 0.5000 0.5000 Ta
0.5000 0.0000 0.5000 Ta
0.5000 0.5000 0.0000 Ta
0.5000 0.5000 0.5000 Cd
```

Calculated values
As for the calculated volume: 25.5 Å³ per atom. Its total magnetization is 0.0 μB/cell. The formation energy is 2.02 eV per atom.

4.
Entry from Alexandria via LeMat-Bulk: La2YSc at its PBEsol-relaxed geometry (meta-GGA SCAN).

Structure (POSCAR):
```
La2YSc
1.0
1.7616 1.0171 11.1459
-1.7616 1.0171 11.1459
0.0000 -2.0342 11.1459
La Y Sc
2 1 1
Direct
0.2465 0.2465 0.2465 La
0.7535 0.7535 0.7535 La
0.0000 0.0000 0.0000 Y
0.5000 0.5000 0.5000 Sc
```

Calculated values
As for the calculated volume: 30.0 Å³ per atom. The value obtained for the energy above the most stable polymorph in this dataset is 0.007 eV per atom. Its total magnetization is 0.0 μB/cell. The formation energy is 0.05 eV per atom.

5.
Entry from Alexandria via LeMat-Bulk: AsPb2Au2 at its PBEsol-relaxed geometry (meta-GGA SCAN).

Structure (POSCAR):
```
AsPb2Au2
1.0
7.2283 0.0000 0.0000
0.0000 7.2283 0.0000
0.0000 0.0000 4.3623
As Pb Au
2 4 4
Direct
0.0000 0.0000 0.0000 As
0.5000 0.5000 0.0000 As
0.1708 0.3292 0.5000 Pb
0.3292 0.8292 0.5000 Pb
0.6708 0.1708 0.5000 Pb
0.8292 0.6708 0.5000 Pb
0.1364 0.6364 0.0000 Au
0.3636 0.1364 0.0000 Au
0.6364 0.8636 0.0000 Au
0.8636 0.3636 0.0000 Au
```

Calculated values
As for the calculated volume: 22.8 Å³ per atom. Its total magnetization is 0.0 μB/cell. The formation energy is 0.04 eV per atom.

6.
Entry from Alexandria via LeMat-Bulk: ZrAlSi2 at its PBEsol-relaxed geometry (meta-GGA SCAN).

Structure (POSCAR):
```
ZrAlSi2
1.0
2.8359 0.0000 0.0000
0.0000 2.8359 0.0000
0.0000 0.0000 8.0369
Zr Al Si
1 1 2
Direct
0.0000 0.0000 0.0000 Zr
0.0000 0.0000 0.5000 Al
0.5000 0.5000 0.2553 Si
0.5000 0.5000 0.7447 Si
```

Calculated values
As for the calculated volume: 16.2 Å³ per atom. Its total magnetization is 0.0 μB/cell. The calculation puts the formation energy (no corrections) at -0.121 eV/f.u.

Q: Number 5 is which compound?
A: AsPb2Au2